MnNi5B2: optimized geometry, GGA-PBE.

abc: 3.2595 5.9373 8.5248
angles: 90.00 90.00 90.00
Space group Immm (No. 71)
Inequivalent atoms, fractional coordinates:
1 Mn 0.0000 0.0000 0.0000 x2
2 Ni 0.0000 0.2056 0.3495 x8
3 Ni 0.0000 0.5000 0.0000 x2
4 B 0.0000 0.5000 0.2365 x4

---

MnNi3B: optimized geometry, GGA-PBE.

Properties
Energy above the most stable polymorph in this dataset in meV per atom: 2033.8

abc: 4.1816 4.1816 4.1816
angles: 90.00 90.00 90.00
Space group Pm-3m (No. 221)
Inequivalent atoms, fractional coordinates:
1 Mn 0.0000 0.0000 0.0000 x1
2 Ni 0.0000 0.0000 0.5000 x3
3 B 0.5000 0.5000 0.5000 x1

---

Mn2Ni21B6: optimized geometry, GGA-PBE.

abc: 10.4829 10.4829 10.4829
angles: 90.00 90.00 90.00
Space group Fm-3m (No. 225)
Inequivalent atoms, fractional coordinates:
1 Mn 0.2500 0.2500 0.2500 x8
2 Ni 0.0000 0.0000 0.0000 x4
3 Ni 0.0000 0.1692 0.1692 x48
4 Ni 0.1169 0.1169 0.3831 x32
5 B 0.0000 0.0000 0.2726 x24

---

MnNi2BOs: optimized geometry, GGA-PBE.

abc: 3.7867 3.7867 3.9092
angles: 90.00 90.00 90.00
Space group P4/mmm (No. 123)
Inequivalent atoms, fractional coordinates:
1 Mn 0.0000 0.0000 0.0000 x1
2 Ni 0.0000 0.5000 0.5000 x2
3 B 0.0000 0.0000 0.5000 x1
4 Os 0.5000 0.5000 0.0000 x1

---

no.,energy (eV per atom),energy of formation from the pure elements (eV/f.u.)
1,-6.557,-1.02
2,-4.756,9.41
3,-6.449,-7.21
4,-7.410,1.59